Computed, not measured: a geometry-optimized Nd2Ag3Au2 structure at the PBE level of DFT.

Calculated values
- DFT formation energy (kJ per mole of atoms) = -38.5
- calculated volume (Å³/cell) = 163.64
- M_tot (μB per atom) = 0.0000
- ρ (Mg/m³) = 10.2

Cell: 10.645 10.645 3.736 Å, 90.00 90.00 157.26°
Fractional positions:
Nd: 0.151 0.849 0.000
Nd: 0.849 0.151 0.000
Ag: 0.000 0.000 0.000
Ag: 0.434 0.566 0.500
Ag: 0.566 0.434 0.500
Au: 0.294 0.706 0.500
Au: 0.706 0.294 0.500